{"formula": "Na2VTcO6", "functional": "GGA+U", "state": "optimized geometry", "cell": [[5.4013, 0.0000, 0.0000], [0.0000, 5.4013, 0.0000], [0.0000, 0.0000, 3.8544]], "species": ["Na", "Na", "V", "Tc", "O", "O", "O", "O", "O", "O"], "fractional_positions": [[0.0000, 0.5000, 0.0000], [0.5000, 0.0000, 0.0000], [0.0000, 0.0000, 0.4775], [0.5000, 0.5000, 0.5195], [0.0000, 0.0000, 0.0153], [0.2474, 0.2474, 0.5127], [0.2474, 0.7526, 0.5127], [0.5000, 0.5000, 0.0147], [0.7526, 0.2474, 0.5127], [0.7526, 0.7526, 0.5127]], "spacegroup": "P4mm (99)", "final_energy_ha_per_atom": -0.247}